Entry 1:
The following is a PBE calculation of a geometry-optimized CaYTc2C structure, from Alexandria via LeMat-Bulk.

Results
**Symmetry**: P4/mmm, No. 123
**Formation energy**: 0.208 eV/atom
**Calculated volume**: 17.40 Å³ per atom
**VASP energy**: -7.48 eV per atom

The structure in CIF format:
```
data_CaYTc2C
_symmetry_space_group_name_H-M 'P 1'
_symmetry_Int_Tables_number 1
_symmetry_space_group_name_Hall 'P 1'
_cell_length_a 4.226
_cell_length_b 4.870
_cell_length_c 4.226
_cell_angle_alpha 90.00
_cell_angle_beta 90.00
_cell_angle_gamma 90.00
loop_
_atom_site_label
_atom_site_type_symbol
_atom_site_fract_x
_atom_site_fract_y
_atom_site_fract_z
_atom_site_occupancy
Tc1 Tc 0.000 0.000 0.500 1
Tc2 Tc 0.500 0.000 0.000 1
Y1 Y 0.000 0.500 0.000 1
Ca1 Ca 0.500 0.500 0.500 1
C1 C 0.000 0.000 0.000 1
```

Entry 2:
The following is a PBE calculation of a geometry-optimized AlReHg2 structure, from Alexandria via LeMat-Bulk.

Results
**Symmetry**: Cmmm, No. 65
**Formation energy**: 0.277 eV/atom
**Calculated volume**: 23.44 Å³ per atom
**VASP energy**: -3.92 eV per atom

The structure in CIF format:
```
data_AlReHg2
_symmetry_space_group_name_H-M 'P 1'
_symmetry_Int_Tables_number 1
_symmetry_space_group_name_Hall 'P 1'
_cell_length_a 8.854
_cell_length_b 8.854
_cell_length_c 4.461
_cell_angle_alpha 59.74
_cell_angle_beta 59.74
_cell_angle_gamma 18.16
loop_
_atom_site_label
_atom_site_type_symbol
_atom_site_fract_x
_atom_site_fract_y
_atom_site_fract_z
_atom_site_occupancy
Hg1 Hg 0.413 0.413 0.423 1
Hg2 Hg 0.087 0.087 0.077 1
Re1 Re 0.750 0.750 0.750 1
Al1 Al 0.250 0.250 0.250 1
```

Entry 3:
The following is a PBE calculation of a geometry-optimized SiBi2As structure, from Alexandria via LeMat-Bulk.

Results
**Symmetry**: I-42d, No. 122
**Energy above the lowest structure with this stoichiometry**: 0 meV per atom
**Calculated volume**: 35.58 Å³ per atom
**VASP energy**: -4.03 eV per atom
**Formation energy without anion corrections**: 0.43 eV per atom

The structure in CIF format:
```
data_SiBi2As
_symmetry_space_group_name_H-M 'P 1'
_symmetry_Int_Tables_number 1
_symmetry_space_group_name_Hall 'P 1'
_cell_length_a 6.844
_cell_length_b 6.844
_cell_length_c 7.769
_cell_angle_alpha 63.87
_cell_angle_beta 63.87
_cell_angle_gamma 90.00
loop_
_atom_site_label
_atom_site_type_symbol
_atom_site_fract_x
_atom_site_fract_y
_atom_site_fract_z
_atom_site_occupancy
Si1 Si 0.250 0.750 0.500 1
Si2 Si 0.500 0.500 0.000 1
Bi1 Bi 0.610 0.125 0.250 1
Bi2 Bi 0.875 0.860 0.750 1
Bi3 Bi 0.375 0.390 0.750 1
Bi4 Bi 0.140 0.625 0.250 1
As1 As 0.750 0.250 0.500 1
As2 As 0.000 0.000 0.000 1
```

Entry 4:
The following is a PBE calculation of a geometry-optimized Li2ZrAgTe structure, from Alexandria via LeMat-Bulk.

Results
**Symmetry**: P4/mmm, No. 123
**Calculated volume**: 22.77 Å³ per atom
**VASP energy**: -3.38 eV per atom
**Formation energy without anion corrections**: 0.29 eV per atom

The structure in CIF format:
```
data_Li2ZrAgTe
_symmetry_space_group_name_H-M 'P 1'
_symmetry_Int_Tables_number 1
_symmetry_space_group_name_Hall 'P 1'
_cell_length_a 4.521
_cell_length_b 5.570
_cell_length_c 4.521
_cell_angle_alpha 90.00
_cell_angle_beta 90.00
_cell_angle_gamma 90.00
loop_
_atom_site_label
_atom_site_type_symbol
_atom_site_fract_x
_atom_site_fract_y
_atom_site_fract_z
_atom_site_occupancy
Te1 Te 0.000 0.500 0.000 1
Zr1 Zr 0.500 0.500 0.500 1
Li1 Li 0.500 0.000 0.000 1
Li2 Li 0.000 0.000 0.500 1
Ag1 Ag 0.000 0.000 0.000 1
```

Entry 5:
The following is a PBE calculation of a geometry-optimized LiGdP structure, from Alexandria via LeMat-Bulk.

Results
**Symmetry**: F-43m, No. 216
**Formation energy**: -0.922 eV/atom
**Calculated volume**: 21.61 Å³ per atom
**VASP energy**: -8.06 eV per atom

The structure in CIF format:
```
data_LiGdP
_symmetry_space_group_name_H-M 'P 1'
_symmetry_Int_Tables_number 1
_symmetry_space_group_name_Hall 'P 1'
_cell_length_a 4.509
_cell_length_b 4.509
_cell_length_c 4.509
_cell_angle_alpha 60.00
_cell_angle_beta 60.00
_cell_angle_gamma 60.00
loop_
_atom_site_label
_atom_site_type_symbol
_atom_site_fract_x
_atom_site_fract_y
_atom_site_fract_z
_atom_site_occupancy
P1 P 0.250 0.250 0.250 1
Li1 Li 0.000 0.000 0.000 1
Gd1 Gd 0.500 0.500 0.500 1
```

Entry 6:
The following is a PBE calculation of a geometry-optimized BaScTiO4 structure, from Alexandria via LeMat-Bulk.

Results
**Symmetry**: F-43m, No. 216
**Calculated volume**: 23.89 Å³ per atom
**VASP energy**: -7.87 eV per atom
**Formation energy without anion corrections**: -2.73 eV per atom

The structure in CIF format:
```
data_BaScTiO4
_symmetry_space_group_name_H-M 'P 1'
_symmetry_Int_Tables_number 1
_symmetry_space_group_name_Hall 'P 1'
_cell_length_a 6.184
_cell_length_b 6.184
_cell_length_c 6.184
_cell_angle_alpha 60.00
_cell_angle_beta 60.00
_cell_angle_gamma 60.00
loop_
_atom_site_label
_atom_site_type_symbol
_atom_site_fract_x
_atom_site_fract_y
_atom_site_fract_z
_atom_site_occupancy
Ba1 Ba 0.750 0.750 0.750 1
O1 O 0.887 0.371 0.371 1
O2 O 0.371 0.371 0.371 1
O3 O 0.371 0.371 0.887 1
O4 O 0.371 0.887 0.371 1
Sc1 Sc 0.500 0.500 0.500 1
Ti1 Ti 0.250 0.250 0.250 1
```

Entry 7:
The following is a PBE calculation of a geometry-optimized La2CuIr structure, from Alexandria via LeMat-Bulk.

Results
**Symmetry**: P2_1/m, No. 11
**Formation energy**: -0.524 eV/atom
**Calculated volume**: 24.73 Å³ per atom
**VASP energy**: -6.23 eV per atom

The structure in CIF format:
```
data_La2CuIr
_symmetry_space_group_name_H-M 'P 1'
_symmetry_Int_Tables_number 1
_symmetry_space_group_name_Hall 'P 1'
_cell_length_a 4.458
_cell_length_b 5.913
_cell_length_c 8.006
_cell_angle_alpha 110.33
_cell_angle_beta 90.00
_cell_angle_gamma 90.00
loop_
_atom_site_label
_atom_site_type_symbol
_atom_site_fract_x
_atom_site_fract_y
_atom_site_fract_z
_atom_site_occupancy
La1 La 0.750 0.233 0.926 1
La2 La 0.750 0.222 0.439 1
La3 La 0.250 0.767 0.074 1
La4 La 0.250 0.778 0.561 1
Cu1 Cu 0.250 0.349 0.213 1
Cu2 Cu 0.750 0.651 0.787 1
Ir1 Ir 0.750 0.660 0.286 1
Ir2 Ir 0.250 0.340 0.714 1
```

Entry 8:
The following is a PBE calculation of a geometry-optimized Al3GaAu structure, from Alexandria via LeMat-Bulk.

Results
**Symmetry**: Pm-3m, No. 221
**Formation energy**: 0.545 eV/atom
**Energy above the lowest structure with this stoichiometry**: 272 meV per atom
**Calculated volume**: 22.32 Å³ per atom
**VASP energy**: -2.96 eV per atom

The structure in CIF format:
```
data_Al3GaAu
_symmetry_space_group_name_H-M 'P 1'
_symmetry_Int_Tables_number 1
_symmetry_space_group_name_Hall 'P 1'
_cell_length_a 4.814
_cell_length_b 4.814
_cell_length_c 4.814
_cell_angle_alpha 90.00
_cell_angle_beta 90.00
_cell_angle_gamma 90.00
loop_
_atom_site_label
_atom_site_type_symbol
_atom_site_fract_x
_atom_site_fract_y
_atom_site_fract_z
_atom_site_occupancy
Au1 Au 0.500 0.500 0.500 1
Al1 Al 0.000 0.500 0.000 1
Al2 Al 0.000 0.000 0.500 1
Al3 Al 0.500 0.000 0.000 1
Ga1 Ga 0.000 0.000 0.000 1
```